Entry 1:
A geometry-optimized HoB4 structure, computed with PBE.

Lattice parameters (Å, degrees): 4.729 4.729 4.729 90.00 90.00 90.00
Fractional positions:
B 0.000 0.000 0.000
B 0.000 0.500 0.500
B 0.500 0.500 0.000
B 0.500 0.000 0.500
Ho 0.500 0.500 0.500

The energy relative to the elements comes out at 15.5 eV per formula unit. The magnetic moment is 0.00 μB per atom.

---

Entry 2:
A geometry-optimized Pa2Si3Au6 structure, computed with PBE.

Lattice parameters (Å, degrees): 4.248 7.652 7.652 120.00 90.00 90.00
Fractional positions:
Si 0.500 0.632 0.000
Au 0.500 0.681 0.681
Au 0.000 0.786 0.000
Au 0.000 0.214 0.214
Au 0.000 0.000 0.786
Pa 0.000 0.333 0.667
Au 0.500 0.000 0.319
Si 0.500 0.368 0.368
Pa 0.000 0.667 0.333
Au 0.500 0.319 0.000
Si 0.500 0.000 0.632

The magnetic moment is 0.00 μB per atom. As for the formation energy (no corrections): -309 meV per atom.